# Ag3SbO6, relaxed, DFT PBE
# Raw formation energy: -0.331 eV/atom
# Electronic total energy: -0.168 Ha/atom
data_Ag3SbO6
_cell_length_a 6.5782
_cell_length_b 10.7437
_cell_length_c 3.7907
_cell_angle_alpha 90.00
_cell_angle_beta 90.00
_cell_angle_gamma 90.00
_symmetry_space_group_name_H-M 'C m m m'
_symmetry_Int_Tables_number 65
_symmetry_space_group_name_Hall '-C 2 2'
loop_
_atom_site_label
_atom_site_type_symbol
_atom_site_fract_x
_atom_site_fract_y
_atom_site_fract_z
Ag1 Ag 0.0000 0.0000 0.0000
Ag2 Ag 0.2500 0.2500 0.5000
Sb1 Sb 0.0000 0.5000 0.0000
O1 O 0.0000 0.3867 0.5000
O2 O 0.2378 0.1189 0.0000